Entry 1:
Rb2BaMoCl8, relaxed, DFT PBE; energy relative to the elements, uncorrected = -19.18 eV per formula unit; size of the total moment = 0.17 μB per atom
1.0
5.9715 0.0000 0.0000
-1.5317 7.5997 0.0000
-0.0083 -0.0018 9.1600
Rb Ba Mo Cl
2 1 1 8
Cartesian
0.0162 0.0015 2.4007
4.4153 7.5963 6.7593
2.2199 3.7998 0.0000
2.2157 3.7989 4.5800
-0.2367 2.0242 0.0004
0.2412 2.5297 4.5833
1.3697 5.2652 2.8208
1.3714 5.2697 6.3378
3.0601 2.3282 2.8222
3.0618 2.3327 6.3392
4.1903 5.0682 4.5767
4.6682 5.5737 9.1596

---

Entry 2:
BaMoRh2Cl, relaxed, DFT PBE; energy relative to the elements, uncorrected = 10.23 eV per formula unit; size of the total moment = 1.05 μB per atom
1.0
5.0111 0.0000 0.0000
0.0000 5.0111 0.0000
0.0000 0.0000 6.6857
Ba Mo Rh Cl
1 1 2 1
Cartesian
0.0000 0.0000 0.0000
0.0000 0.0000 3.3428
0.0000 2.5055 0.0000
2.5055 0.0000 0.0000
2.5055 2.5055 3.3428

---

Entry 3:
BaMoS2Cl, relaxed, DFT PBE; energy relative to the elements, uncorrected = -5.52 eV per formula unit; size of the total moment = 0.00 μB per atom
1.0
4.7450 0.0000 0.0000
0.0000 4.7450 0.0000
0.0000 0.0000 5.1832
Ba Mo S Cl
1 1 2 1
Cartesian
0.0000 0.0000 0.0000
2.3725 2.3725 2.5916
0.0000 2.3725 2.5916
2.3725 0.0000 2.5916
2.3725 2.3725 0.0000

---

Entry 4:
BaMoS2Cl, relaxed, DFT PBE; energy relative to the elements, uncorrected = 2.92 eV per formula unit; size of the total moment = 0.60 μB per atom
1.0
5.9297 0.0000 0.0000
0.0000 5.9297 0.0000
0.0000 0.0000 5.7508
Ba Mo S Cl
1 1 2 1
Cartesian
0.0000 0.0000 0.0000
2.9648 2.9648 2.8754
0.0000 2.9648 0.0000
2.9648 0.0000 0.0000
0.0000 0.0000 2.8754